No. 1
First-principles (GGA-PBE) data for a relaxed structure of Ca2SmTcO6, as listed in Alexandria via LeMat-Bulk.

Cell lengths 5.642, 5.893, 8.149 Å; angles 90.00, 90.59, 90.00 degrees
Each line ends with the local moment (μB).
Element x y z (fractional)
1 Ca 0.482 0.444 0.247  0.01
2 Ca 0.018 0.944 0.253  0.01
3 Ca 0.518 0.556 0.753  0.01
4 Ca 0.982 0.056 0.747  0.01
5 O 0.784 0.819 0.558  0.04
6 O 0.216 0.181 0.442  0.04
7 O 0.617 0.051 0.272  0.03
8 O 0.883 0.551 0.228  0.03
9 O 0.673 0.281 0.569  0.03
10 O 0.284 0.681 0.058  0.04
11 O 0.173 0.219 0.069  0.03
12 O 0.716 0.319 0.942  0.04
13 O 0.383 0.949 0.728  0.03
14 O 0.117 0.449 0.772  0.03
15 O 0.327 0.719 0.431  0.03
16 O 0.827 0.781 0.931  0.03
17 Tc 0.500 0.000 0.500  1.55
18 Tc 0.000 0.500 0.000  1.55
19 Sm 0.500 0.000 0.000  0.04
20 Sm 0.000 0.500 0.500  0.04

Summary:
SG   No. 14
Electronic total energy   -7.42 eV/atom

---

No. 2
First-principles (GGA-PBE) data for a relaxed structure of CaSmTe2O8, as listed in Alexandria via LeMat-Bulk.

Cell lengths 5.367, 5.367, 6.918 Å; angles 112.83, 112.83, 90.00 degrees
Each line ends with the local moment (μB).
Element x y z (fractional)
1 O 0.660 0.246 0.832  0.01
2 O 0.414 0.340 0.168  0.01
3 O 0.597 0.669 0.680  0.12
4 O 0.083 0.010 0.680  0.12
5 O 0.990 0.403 0.320  0.12
6 O 0.331 0.917 0.320  0.12
7 O 0.171 0.586 0.832  0.01
8 O 0.754 0.829 0.168  0.01
9 Ca 0.750 0.250 0.500  0.01
10 Te 0.250 0.750 0.500  0.11
11 Te 0.500 0.500 0.000  0.01
12 Sm 0.000 0.000 0.000  0.02

Summary:
SG   No. 82
Electronic total energy   -6.23 eV/atom

---

No. 3
First-principles (GGA-PBE) data for a relaxed structure of CaSmTiO4, as listed in Alexandria via LeMat-Bulk.

Cell lengths 3.883, 3.883, 6.649 Å; angles 106.98, 106.98, 90.00 degrees
Each line ends with the local moment (μB).
Element x y z (fractional)
1 Ti 0.997 0.997 0.995  0.60
2 O 0.504 0.004 0.008  -0.01
3 O 0.826 0.826 0.652  0.01
4 O 0.004 0.504 0.008  -0.01
5 O 0.172 0.172 0.343  0.00
6 Ca 0.355 0.355 0.711  0.02
7 Sm 0.642 0.642 0.284  0.05

Summary:
SG   No. 107
Electronic total energy   -7.95 eV/atom

---

No. 4
First-principles (GGA-PBE) data for a relaxed structure of CaSm2TiO6, as listed in Alexandria via LeMat-Bulk.

Cell lengths 5.208, 5.403, 5.403 Å; angles 90.00, 90.00, 90.00 degrees
Element x y z (fractional)
1 Ca 0.557 0.500 0.500
2 O 0.135 0.500 0.500
3 O 0.245 0.000 0.000
4 O 0.736 0.233 0.767
5 O 0.736 0.767 0.767
6 O 0.736 0.767 0.233
7 O 0.736 0.233 0.233
8 Ti 0.597 0.000 0.000
9 Sm 0.985 0.000 0.500
10 Sm 0.985 0.500 0.000

Summary:
SG   No. 99
Electronic total energy   -8.02 eV/atom

---

Number 1: total magnetic moment 4.00 Bohr magnetons per cell, calculated volume 135.5 Å³/f.u., calculated density 5.20 g/cm3. Number 2: total magnetic moment 0.80 Bohr magnetons per cell, calculated volume 166.6 Å³/f.u., calculated density 5.72 g/cm3. Number 3: total magnetic moment 0.78 Bohr magnetons per cell, calculated volume 91.3 Å³/f.u., calculated density 5.50 g/cm3. Number 4: total magnetic moment 0.00 Bohr magnetons per cell, calculated volume 152.0 Å³/f.u., calculated density 5.29 g/cm3.